i.
The following is a DFT calculation (PBE) of a geometry-optimized ScSi2H structure.

Magnetic moment ... 0.00 μB/atom

a b c (Å): 4.415 4.415 4.415
angles (deg): 60.00 60.00 60.00
Atoms (fractional coordinates):
Sc  0.500  0.500  0.500
H  0.000  0.000  0.000
Si  0.250  0.250  0.250
Si  0.750  0.750  0.750

***

ii.
The following is a DFT calculation (PBE) of a geometry-optimized ScSi2H structure.

Magnetic moment ... 0.00 μB/atom

a b c (Å): 4.848 4.848 6.082
angles (deg): 66.51 66.51 90.00
Atoms (fractional coordinates):
Sc  0.000  0.000  0.000
Sc  0.750  0.250  0.500
H  0.500  0.500  0.000
H  0.250  0.750  0.500
Si  0.376  0.125  0.250
Si  0.374  0.625  0.250
Si  0.375  0.624  0.750
Si  0.875  0.626  0.750

***

Most stable = ii

***

i.
The following is a DFT calculation (PBE) of a geometry-optimized ScSiH structure.

Magnetic moment ... 0.00 μB/atom

a b c (Å): 3.437 6.263 7.761
angles (deg): 106.78 90.00 90.00
Atoms (fractional coordinates):
Sc  0.250  0.716  0.454
Sc  0.250  0.199  0.135
Sc  0.750  0.801  0.865
Sc  0.750  0.284  0.546
H  0.750  0.124  0.993
H  0.250  0.368  0.420
H  0.750  0.632  0.580
H  0.250  0.876  0.007
Si  0.250  0.459  0.878
Si  0.250  0.082  0.737
Si  0.750  0.918  0.263
Si  0.750  0.541  0.122

***

ii.
The following is a DFT calculation (PBE) of a geometry-optimized ScSiH structure.

Magnetic moment ... 0.00 μB/atom

a b c (Å): 3.855 6.792 6.959
angles (deg): 90.00 90.00 90.00
Atoms (fractional coordinates):
Sc  0.000  0.000  0.000
Sc  0.500  0.500  0.500
Sc  0.500  0.000  0.500
Sc  0.000  0.500  0.000
H  0.997  0.250  0.859
H  0.503  0.750  0.359
H  0.003  0.750  0.141
H  0.497  0.250  0.641
Si  0.500  0.250  0.152
Si  0.000  0.750  0.652
Si  0.500  0.750  0.848
Si  0.000  0.250  0.348

***

Most stable = i